Computed, not measured: an optimized crystal structure of Pu2MgAu4 at the PBE level of DFT.

Cell and atoms, written as POSCAR:
```
Pu2MgAu4
1.0
-2.010 1.433 4.138
-4.377 -0.783 -1.856
3.366 -6.808 1.187
Mg Pu Au
1 2 4
Direct
0.000 0.000 0.000
0.258 0.258 0.515
0.742 0.742 0.485
0.895 0.395 0.790
0.105 0.605 0.210
0.395 0.895 0.790
0.605 0.105 0.210
```

Values from the calculation:
ΔE_f: -0.373 eV/atom
ρ: 13495 kg/m³
N(E_F): 2.701 states/eV/atom
Calculated volume: 22.854 A^3/atom